{
  "formula": "Ac2Zn15In2",
  "functional": "PBE-GGA",
  "state": "optimized geometry",
  "lattice": [[5.298, -4.734, -0.056], [5.298, 4.734, -0.056], [1.143, 0.000, 7.012]],
  "species": ["Zn", "Zn", "Zn", "Zn", "Zn", "Zn", "Zn", "Zn", "Zn", "Zn", "Zn", "Zn", "Zn", "Zn", "Zn", "In", "In", "Ac", "Ac"],
  "fractional_positions": [[0.000, 0.700, 0.300], [0.300, 0.700, 0.000], [0.500, 0.000, 0.000], [0.832, 0.349, 0.349], [0.349, 0.832, 0.349], [0.349, 0.349, 0.832], [0.000, 0.500, 0.000], [0.300, 0.000, 0.700], [0.700, 0.300, 0.000], [0.000, 0.300, 0.700], [0.700, 0.000, 0.300], [0.651, 0.168, 0.651], [0.168, 0.651, 0.651], [0.651, 0.651, 0.168], [0.000, 0.000, 0.500], [0.103, 0.103, 0.103], [0.897, 0.897, 0.897], [0.658, 0.658, 0.658], [0.342, 0.342, 0.342]],
  "ef_ev_per_atom": -0.194,
  "magmom_total_mub_per_atom": 0.00,
  "space_group": "R-3m (166)",
  "total_energy_ev_per_cell": -36.50
}

{
  "formula": "Ac3Zn9In2",
  "functional": "PBE-GGA",
  "state": "optimized geometry",
  "lattice": [[4.574, 0.000, 1.229], [1.563, 8.101, 3.310], [0.076, 0.882, 8.846]],
  "species": ["In", "In", "Zn", "Zn", "Zn", "Zn", "Zn", "Zn", "Zn", "Zn", "Zn", "Ac", "Ac", "Ac"],
  "fractional_positions": [[0.500, 0.689, 0.311], [0.500, 0.311, 0.689], [0.000, 0.500, 0.500], [0.659, 0.703, 0.980], [0.659, 0.980, 0.703], [0.147, 0.575, 0.131], [0.853, 0.425, 0.869], [0.147, 0.131, 0.575], [0.341, 0.020, 0.297], [0.341, 0.297, 0.020], [0.853, 0.869, 0.425], [0.708, 0.292, 0.292], [0.000, 0.000, 0.000], [0.292, 0.708, 0.708]],
  "ef_ev_per_atom": -0.284,
  "magmom_total_mub_per_atom": 0.00,
  "space_group": "Immm (71)",
  "total_energy_ev_per_cell": -33.25
}

{
  "formula": "AcZn2In4",
  "functional": "PBE-GGA",
  "state": "optimized geometry",
  "lattice": [[4.685, 0.000, 0.000], [0.000, 4.707, 0.000], [0.000, -2.354, 7.964]],
  "species": ["In", "In", "In", "In", "Zn", "Zn", "Ac"],
  "fractional_positions": [[0.000, 0.320, 0.641], [0.500, 0.177, 0.353], [0.000, 0.680, 0.359], [0.500, 0.823, 0.647], [0.500, 0.423, 0.846], [0.500, 0.577, 0.154], [0.000, 0.000, 0.000]],
  "ef_ev_per_atom": -0.189,
  "magmom_total_mub_per_atom": 0.00,
  "space_group": "Cmmm (65)",
  "total_energy_ev_per_cell": -18.93
}

{
  "formula": "Ac6ZnIn",
  "functional": "PBE-GGA",
  "state": "optimized geometry",
  "lattice": [[5.446, 0.000, 1.640], [-0.494, 5.424, 1.641], [-0.166, -0.183, 10.417]],
  "species": ["In", "Ac", "Ac", "Ac", "Ac", "Ac", "Ac", "Zn"],
  "fractional_positions": [[0.500, 0.500, 0.000], [0.896, 0.396, 0.208], [0.749, 0.749, 0.503], [0.604, 0.104, 0.792], [0.251, 0.251, 0.497], [0.396, 0.896, 0.208], [0.104, 0.604, 0.792], [0.000, 0.000, 0.000]],
  "ef_ev_per_atom": -0.151,
  "magmom_total_mub_per_atom": 0.00,
  "space_group": "I4/mmm (139)",
  "total_energy_ev_per_cell": -29.87
}

{
  "formula": "Ac11Zn4In9",
  "functional": "PBE-GGA",
  "state": "optimized geometry",
  "lattice": [[4.118, 0.000, 0.000], [0.000, 13.129, -5.569], [0.000, 0.038, 14.261]],
  "species": ["Ac", "Ac", "Ac", "Ac", "Ac", "Ac", "Ac", "Ac", "Ac", "Ac", "Ac", "Zn", "Zn", "Zn", "Zn", "In", "In", "In", "In", "In", "In", "In", "In", "In"],
  "fractional_positions": [[0.000, 0.000, 0.000], [0.000, 0.300, 0.300], [0.000, 0.933, 0.587], [0.000, 0.067, 0.413], [0.000, 0.700, 0.700], [0.000, 0.587, 0.933], [0.000, 0.413, 0.067], [0.000, 0.367, 0.633], [0.000, 0.837, 0.163], [0.000, 0.163, 0.837], [0.000, 0.633, 0.367], [0.500, 0.550, 0.749], [0.500, 0.450, 0.251], [0.500, 0.749, 0.550], [0.500, 0.251, 0.450], [0.500, 0.926, 0.783], [0.500, 0.074, 0.217], [0.500, 0.217, 0.074], [0.500, 0.500, 0.500], [0.500, 0.367, 0.840], [0.500, 0.633, 0.160], [0.500, 0.840, 0.367], [0.500, 0.783, 0.926], [0.500, 0.160, 0.633]],
  "ef_ev_per_atom": -0.366,
  "magmom_total_mub_per_atom": 0.00,
  "space_group": "Cmmm (65)",
  "total_energy_ev_per_cell": -83.73
}

{
  "formula": "Ac5Zn4In",
  "functional": "PBE-GGA",
  "state": "optimized geometry",
  "lattice": [[3.926, 0.000, 0.000], [0.000, 3.926, 0.000], [0.000, 0.000, 20.002]],
  "species": ["Zn", "Zn", "Zn", "Zn", "Ac", "Ac", "Ac", "Ac", "Ac", "In"],
  "fractional_positions": [[0.000, 0.000, 0.791], [0.000, 0.000, 0.402], [0.000, 0.000, 0.209], [0.000, 0.000, 0.598], [0.500, 0.500, 0.111], [0.500, 0.500, 0.889], [0.500, 0.500, 0.305], [0.500, 0.500, 0.695], [0.500, 0.500, 0.500], [0.000, 0.000, 0.000]],
  "ef_ev_per_atom": -0.276,
  "magmom_total_mub_per_atom": 0.00,
  "space_group": "P4/mmm (123)",
  "total_energy_ev_per_cell": -31.13
}

{
  "formula": "AcZn2In2",
  "functional": "PBE-GGA",
  "state": "optimized geometry",
  "lattice": [[-4.273, -1.098, 1.191], [-0.453, -2.382, -3.874], [4.330, -3.002, 4.027]],
  "species": ["In", "In", "Zn", "Zn", "Ac"],
  "fractional_positions": [[0.250, 0.750, 0.500], [0.750, 0.250, 0.500], [0.394, 0.394, 0.787], [0.606, 0.606, 0.213], [0.000, 0.000, 0.000]],
  "ef_ev_per_atom": -0.390,
  "magmom_total_mub_per_atom": 0.00,
  "space_group": "Fmmm (69)",
  "total_energy_ev_per_cell": -14.08
}

{
  "formula": "Ac4Zn2In",
  "functional": "PBE-GGA",
  "state": "optimized geometry",
  "lattice": [[-1.963, 1.184, -5.094], [0.138, -3.878, -4.017], [-8.703, -3.734, -0.577]],
  "species": ["Zn", "Zn", "Ac", "Ac", "Ac", "Ac", "In"],
  "fractional_positions": [[0.252, 0.252, 0.243], [0.748, 0.748, 0.757], [0.130, 0.130, 0.611], [0.618, 0.618, 0.146], [0.382, 0.382, 0.854], [0.870, 0.870, 0.389], [0.000, 0.000, 0.000]],
  "ef_ev_per_atom": -0.183,
  "magmom_total_mub_per_atom": 0.00,
  "space_group": "R-3m (166)",
  "total_energy_ev_per_cell": -23.00
}

{
  "formula": "Ac3Zn2In2",
  "functional": "PBE-GGA",
  "state": "optimized geometry",
  "lattice": [[-3.217, 2.075, 1.718], [-1.236, -0.703, -6.588], [-2.189, -7.315, 4.735]],
  "species": ["Ac", "Ac", "Ac", "In", "In", "Zn", "Zn"],
  "fractional_positions": [[0.697, 0.393, 0.659], [0.500, 0.000, 0.000], [0.303, 0.607, 0.341], [0.030, 0.059, 0.340], [0.970, 0.941, 0.660], [0.813, 0.626, 0.060], [0.187, 0.374, 0.940]],
  "ef_ev_per_atom": -0.345,
  "magmom_total_mub_per_atom": 0.00,
  "space_group": "C2/m (12)",
  "total_energy_ev_per_cell": -22.77
}

{
  "formula": "Ac3ZnIn3",
  "functional": "PBE-GGA",
  "state": "optimized geometry",
  "lattice": [[-3.700, 2.922, -1.638], [-5.779, -1.658, 2.492], [0.272, 10.792, 11.031]],
  "species": ["Ac", "Ac", "Ac", "Ac", "Ac", "Ac", "In", "In", "In", "In", "In", "In", "Zn", "Zn"],
  "fractional_positions": [[0.456, 0.700, 0.387], [0.749, 0.729, 0.772], [0.597, 0.724, 0.081], [0.544, 0.300, 0.613], [0.251, 0.271, 0.228], [0.403, 0.276, 0.919], [0.045, 0.149, 0.761], [0.886, 0.153, 0.076], [0.114, 0.847, 0.924], [0.861, 0.735, 0.542], [0.955, 0.851, 0.239], [0.139, 0.265, 0.458], [0.752, 0.103, 0.394], [0.248, 0.897, 0.606]],
  "ef_ev_per_atom": -0.416,
  "magmom_total_mub_per_atom": 0.00,
  "space_group": "C2/m (12)",
  "total_energy_ev_per_cell": -49.45
}

{
  "formula": "Ac5Zn2In",
  "functional": "PBE-GGA",
  "state": "optimized geometry",
  "lattice": [[3.223, -0.454, -8.361], [2.568, -8.474, 1.450], [-9.080, 2.203, 1.195]],
  "species": ["In", "In", "Ac", "Ac", "Ac", "Ac", "Ac", "Ac", "Ac", "Ac", "Ac", "Ac", "Zn", "Zn", "Zn", "Zn"],
  "fractional_positions": [[0.750, 0.750, 0.500], [0.250, 0.250, 0.500], [0.489, 0.300, 0.289], [0.700, 0.200, 0.711], [0.989, 0.489, 0.289], [0.000, 0.000, 0.000], [0.800, 0.989, 0.289], [0.511, 0.700, 0.711], [0.500, 0.500, 0.000], [0.011, 0.511, 0.711], [0.300, 0.800, 0.289], [0.200, 0.011, 0.711], [0.639, 0.139, 0.000], [0.361, 0.861, 0.000], [0.139, 0.361, 0.000], [0.861, 0.639, 0.000]],
  "ef_ev_per_atom": -0.223,
  "magmom_total_mub_per_atom": 0.00,
  "space_group": "I4/mcm (140)",
  "total_energy_ev_per_cell": -55.23
}

{
  "formula": "AcZn2In3",
  "functional": "PBE-GGA",
  "state": "optimized geometry",
  "lattice": [[-3.082, 3.189, -1.501], [-8.363, -3.591, 2.240], [-4.656, 2.244, 7.024]],
  "species": ["In", "In", "In", "In", "In", "In", "Ac", "Ac", "Zn", "Zn", "Zn", "Zn"],
  "fractional_positions": [[0.631, 0.225, 0.514], [0.369, 0.775, 0.486], [0.677, 0.553, 0.093], [0.977, 0.351, 0.694], [0.323, 0.447, 0.907], [0.023, 0.649, 0.306], [0.148, 0.907, 0.798], [0.852, 0.093, 0.202], [0.807, 0.693, 0.694], [0.193, 0.307, 0.306], [0.485, 0.156, 0.874], [0.515, 0.844, 0.126]],
  "ef_ev_per_atom": -0.260,
  "magmom_total_mub_per_atom": 0.00,
  "space_group": "C2/m (12)",
  "total_energy_ev_per_cell": -32.86
}